[1]
VASP calculation (GGA-PBEsol) on a relaxed structure of RuWO2F.

Results
ρ: 9.18 Mg/m³
formation energy without anion corrections: 370 meV/atom
V: 60.7 Å³/cell
space-group type: P4/mmm

POSCAR file:
```
RuWO2F
1.0
3.9144 0.0000 0.0000
0.0000 3.9144 0.0000
0.0000 0.0000 3.9643
Ru W O F
1 1 2 1
direct
0.0000 0.0000 0.0000
0.5000 0.5000 0.5000
0.0000 0.5000 0.0000
0.5000 0.0000 0.0000
0.0000 0.0000 0.5000
```



[2]
VASP calculation (GGA-PBEsol) on a relaxed structure of YRuO2F.

Results
ρ: 6.49 Mg/m³
formation energy without anion corrections: -1533 meV/atom
V: 61.6 Å³/cell
space-group type: P4/mmm

POSCAR file:
```
YRuO2F
1.0
3.9717 0.0000 0.0000
0.0000 3.9717 0.0000
0.0000 0.0000 3.9072
Y Ru O F
1 1 2 1
direct
0.0000 0.0000 0.0000
0.5000 0.5000 0.5000
0.0000 0.5000 0.5000
0.5000 0.0000 0.5000
0.5000 0.5000 0.0000
```



[3]
VASP calculation (GGA-PBEsol) on a relaxed structure of ZnRuO2F.

Results
ρ: 6.36 Mg/m³
formation energy without anion corrections: -147 meV/atom
V: 56.8 Å³/cell
space-group type: P4/mmm

POSCAR file:
```
ZnRuO2F
1.0
3.8327 0.0000 0.0000
0.0000 3.8327 0.0000
0.0000 0.0000 3.8680
Zn Ru O F
1 1 2 1
direct
0.0000 0.0000 0.0000
0.5000 0.5000 0.5000
0.0000 0.5000 0.0000
0.5000 0.0000 0.0000
0.0000 0.0000 0.5000
```